Entry from the Alexandria database: CsPdS after structural relaxation (PBE).

The structure in extended XYZ format:
```
6
Lattice="6.795 -2.196 0.000 6.795 2.196 0.000 -1.771 0.000 6.824" Properties=species:S:1:pos:R:3 pbc="T T T"
Cs 0.897 0.000 1.980
Cs 10.921 0.000 4.844
Pd 4.000 0.000 0.600
Pd 7.818 0.000 6.224
S 0.766 0.000 5.432
S 11.053 0.000 1.391
```

- space group = C2/m
- formation energy without anion corrections (eV/f.u.) = -1.99
- total DFT energy (no corrections) (eV/atom) = -4.053
- energy above the lowest structure with this stoichiometry (kcal/mol of atoms) = 1.28
- crystal system = monoclinic
- magnetic moment (Bohr magnetons per cell) = 0.00


Entry from the Alexandria database: CsPd2S after structural relaxation (PBE).

The structure in extended XYZ format:
```
4
Lattice="2.204 1.273 6.147 -2.204 1.273 6.147 0.000 -2.545 6.147" Properties=species:S:1:pos:R:3 pbc="T T T"
Cs 0.000 0.000 0.000
Pd 0.000 0.000 3.453
Pd 0.000 0.000 14.989
S 0.000 0.000 9.221
```

- space group = R-3m
- formation energy without anion corrections (eV/f.u.) = -1.15
- total DFT energy (no corrections) (eV/atom) = -4.129
- crystal system = trigonal
- magnetic moment (Bohr magnetons per cell) = 0.00


Entry from the Alexandria database: CsPd3S after structural relaxation (PBE).

The structure in extended XYZ format:
```
5
Lattice="4.792 0.000 0.000 0.000 4.792 0.000 0.000 0.000 4.792" Properties=species:S:1:pos:R:3 pbc="T T T"
Cs 0.000 0.000 0.000
Pd 0.000 2.396 2.396
Pd 2.396 0.000 2.396
Pd 2.396 2.396 0.000
S 2.396 2.396 2.396
```

- space group = Pm-3m
- formation energy without anion corrections (eV/f.u.) = -0.44
- total DFT energy (no corrections) (eV/atom) = -4.201
- energy above the lowest structure with this stoichiometry (kcal/mol of atoms) = 0.00
- crystal system = cubic
- magnetic moment (Bohr magnetons per cell) = 0.00


Entry from the Alexandria database: CsPdS6 after structural relaxation (PBE).

The structure in extended XYZ format:
```
8
Lattice="4.374 -8.148 0.000 4.374 8.148 0.000 -1.869 0.000 3.720" Properties=species:S:1:pos:R:3 pbc="T T T"
Cs 0.000 0.000 0.000
Pd 3.440 0.000 1.860
S 2.584 4.772 2.327
S 4.296 4.772 1.392
S 1.549 0.000 3.235
S 5.331 0.000 0.485
S 2.584 -4.772 2.327
S 4.296 -4.772 1.392
```

- space group = C2/m
- formation energy without anion corrections (eV/f.u.) = -0.15
- total DFT energy (no corrections) (eV/atom) = -3.870
- crystal system = monoclinic
- magnetic moment (Bohr magnetons per cell) = 0.00


Entry from the Alexandria database: Cs2PdS6 after structural relaxation (PBE).

The structure in extended XYZ format:
```
9
Lattice="5.005 0.000 0.000 1.707 7.617 0.000 1.714 1.940 7.375" Properties=species:S:1:pos:R:3 pbc="T T T"
Cs 1.348 2.729 2.107
Cs 7.079 6.827 5.268
Pd 0.000 0.000 0.000
S 2.975 1.994 5.359
S 2.974 5.685 0.566
S 4.216 3.633 5.175
S 4.211 5.923 2.200
S 5.452 3.871 6.809
S 5.451 7.562 2.016
```

- space group = P-1
- formation energy without anion corrections (eV/f.u.) = -4.81
- total DFT energy (no corrections) (eV/atom) = -4.053
- crystal system = triclinic
- magnetic moment (Bohr magnetons per cell) = 0.00


Entry from the Alexandria database: CsPd3S after structural relaxation (PBE).

The structure in extended XYZ format:
```
5
Lattice="5.230 0.000 0.000 0.000 5.230 0.000 0.000 0.000 5.230" Properties=species:S:1:pos:R:3 pbc="T T T"
Cs 0.000 0.000 0.000
Pd 0.000 0.000 2.615
Pd 0.000 2.615 0.000
Pd 2.615 0.000 0.000
S 2.615 2.615 2.615
```

- space group = Pm-3m
- formation energy without anion corrections (eV/f.u.) = 7.63
- total DFT energy (no corrections) (eV/atom) = -2.585
- energy above the lowest structure with this stoichiometry (kcal/mol of atoms) = 37.25
- crystal system = cubic
- magnetic moment (Bohr magnetons per cell) = 1.02


- The highest total DFT energy (no corrections) belongs to which entry?
  number 6


- Which of these has the highest formation energy without anion corrections?
  number 6


Please write out number 5 again, unchanged.
Entry from the Alexandria database: Cs2PdS6 after structural relaxation (PBE).

The structure in extended XYZ format:
```
9
Lattice="5.005 0.000 0.000 1.707 7.617 0.000 1.714 1.940 7.375" Properties=species:S:1:pos:R:3 pbc="T T T"
Cs 1.348 2.729 2.107
Cs 7.079 6.827 5.268
Pd 0.000 0.000 0.000
S 2.975 1.994 5.359
S 2.974 5.685 0.566
S 4.216 3.633 5.175
S 4.211 5.923 2.200
S 5.452 3.871 6.809
S 5.451 7.562 2.016
```

- space group = P-1
- formation energy without anion corrections (eV/f.u.) = -4.81
- total DFT energy (no corrections) (eV/atom) = -4.053
- crystal system = triclinic
- magnetic moment (Bohr magnetons per cell) = 0.00


- Look up the total DFT energy (no corrections) of the sixth one.
  -2.585 eV/atom